Entry 1:
First-principles (PBE-GGA) data for an optimized crystal structure of La3HfTi, as listed in Alexandria via LeMat-Bulk.

Energy of formation in eV per atom: 0.817
M_tot in μB per cell: 0.055
DOS at the Fermi energy in states/eV per atom: 1.60
Offset from the most stable computed form in meV per atom: 0.0

Unit cell a=5.472 b=5.472 c=5.472 alpha=90.00 beta=90.00 gamma=90.00
Atoms (fractional coordinates):
1 La 0.000 0.000 0.500
2 La 0.000 0.500 0.000
3 La 0.500 0.000 0.000
4 Hf 0.500 0.500 0.500
5 Ti 0.000 0.000 0.000

***

Entry 2:
First-principles (PBE-GGA) data for an optimized crystal structure of La2HfTi, as listed in Alexandria via LeMat-Bulk.

Energy of formation in eV per atom: 0.715
M_tot in μB per cell: 7.802
DOS at the Fermi energy in states/eV per atom: 1.40
Offset from the most stable computed form in meV per atom: 346.3

Unit cell a=8.472 b=8.472 c=6.229 alpha=90.00 beta=90.00 gamma=90.00
Atoms (fractional coordinates):
1 La 0.234 0.750 0.125
2 La 0.250 0.234 0.875
3 La 0.250 0.266 0.375
4 La 0.266 0.750 0.625
5 La 0.734 0.250 0.625
6 La 0.750 0.734 0.375
7 La 0.750 0.766 0.875
8 La 0.766 0.250 0.125
9 Hf 0.000 0.000 0.500
10 Hf 0.000 0.500 0.750
11 Hf 0.500 0.000 0.250
12 Hf 0.500 0.500 0.000
13 Ti 0.000 0.000 0.000
14 Ti 0.000 0.500 0.250
15 Ti 0.500 0.000 0.750
16 Ti 0.500 0.500 0.500

***

Entry 3:
First-principles (PBE-GGA) data for an optimized crystal structure of LaHf2Ti, as listed in Alexandria via LeMat-Bulk.

Energy of formation in eV per atom: 0.259
M_tot in μB per cell: 0.000
DOS at the Fermi energy in states/eV per atom: 1.27
Offset from the most stable computed form in meV per atom: 0.0

Unit cell a=3.140 b=3.140 c=33.170 alpha=90.00 beta=90.00 gamma=120.00
Atoms (fractional coordinates):
1 La 0.000 0.000 0.000
2 La 0.333 0.667 0.667
3 La 0.667 0.333 0.333
4 Hf 0.000 0.000 0.096
5 Hf 0.000 0.000 0.904
6 Hf 0.333 0.667 0.571
7 Hf 0.333 0.667 0.763
8 Hf 0.667 0.333 0.237
9 Hf 0.667 0.333 0.429
10 Ti 0.000 0.000 0.500
11 Ti 0.333 0.667 0.167
12 Ti 0.667 0.333 0.833

***

Entry 4:
First-principles (PBE-GGA) data for an optimized crystal structure of La2HfTi, as listed in Alexandria via LeMat-Bulk.

Energy of formation in eV per atom: 0.369
M_tot in μB per cell: 1.905
DOS at the Fermi energy in states/eV per atom: 1.22
Offset from the most stable computed form in meV per atom: 0.0

Unit cell a=7.564 b=7.564 c=7.564 alpha=90.00 beta=90.00 gamma=90.00
Atoms (fractional coordinates):
1 La 0.250 0.250 0.250
2 La 0.250 0.250 0.750
3 La 0.250 0.750 0.250
4 La 0.250 0.750 0.750
5 La 0.750 0.250 0.250
6 La 0.750 0.250 0.750
7 La 0.750 0.750 0.250
8 La 0.750 0.750 0.750
9 Hf 0.000 0.000 0.000
10 Hf 0.000 0.500 0.500
11 Hf 0.500 0.000 0.500
12 Hf 0.500 0.500 0.000
13 Ti 0.000 0.000 0.500
14 Ti 0.000 0.500 0.000
15 Ti 0.500 0.000 0.000
16 Ti 0.500 0.500 0.500

***

Entry 5:
First-principles (PBE-GGA) data for an optimized crystal structure of LaHf2Ti, as listed in Alexandria via LeMat-Bulk.

Energy of formation in eV per atom: 0.634
M_tot in μB per cell: 0.000
DOS at the Fermi energy in states/eV per atom: 1.15
Offset from the most stable computed form in meV per atom: 375.0

Unit cell a=4.351 b=4.351 c=20.887 alpha=90.00 beta=90.00 gamma=90.00
Atoms (fractional coordinates):
1 La 0.000 0.000 0.000
2 La 0.000 0.500 0.250
3 La 0.500 0.000 0.750
4 La 0.500 0.500 0.500
5 Hf 0.239 0.750 0.625
6 Hf 0.250 0.239 0.375
7 Hf 0.250 0.261 0.875
8 Hf 0.261 0.750 0.125
9 Hf 0.739 0.250 0.125
10 Hf 0.750 0.739 0.875
11 Hf 0.750 0.761 0.375
12 Hf 0.761 0.250 0.625
13 Ti 0.000 0.000 0.500
14 Ti 0.000 0.500 0.750
15 Ti 0.500 0.000 0.250
16 Ti 0.500 0.500 0.000

***

Entry 6:
First-principles (PBE-GGA) data for an optimized crystal structure of La3HfTi, as listed in Alexandria via LeMat-Bulk.

Energy of formation in eV per atom: 1.034
M_tot in μB per cell: 0.149
DOS at the Fermi energy in states/eV per atom: 2.91
Offset from the most stable computed form in meV per atom: 216.8

Unit cell a=5.713 b=5.713 c=5.713 alpha=90.00 beta=90.00 gamma=90.00
Atoms (fractional coordinates):
1 La 0.000 0.000 0.500
2 La 0.000 0.500 0.000
3 La 0.500 0.000 0.000
4 Hf 0.000 0.000 0.000
5 Ti 0.500 0.500 0.500

***

Entry 7:
First-principles (PBE-GGA) data for an optimized crystal structure of LaHfTi3, as listed in Alexandria via LeMat-Bulk.

Energy of formation in eV per atom: 0.805
M_tot in μB per cell: 0.008
DOS at the Fermi energy in states/eV per atom: 2.73
Offset from the most stable computed form in meV per atom: 0.0

Unit cell a=5.004 b=5.004 c=5.004 alpha=90.00 beta=90.00 gamma=90.00
Atoms (fractional coordinates):
1 La 0.000 0.000 0.000
2 Hf 0.500 0.500 0.500
3 Ti 0.000 0.500 0.500
4 Ti 0.500 0.000 0.500
5 Ti 0.500 0.500 0.000

***

Entry 8:
First-principles (PBE-GGA) data for an optimized crystal structure of LaHf2ZrTi, as listed in Alexandria via LeMat-Bulk.

Energy of formation in eV per atom: 1.532
M_tot in μB per cell: 0.000
DOS at the Fermi energy in states/eV per atom: 1.63

Unit cell a=5.119 b=5.119 c=5.069 alpha=90.00 beta=90.00 gamma=90.00
Atoms (fractional coordinates):
1 La 0.000 0.000 0.000
2 Hf 0.000 0.500 0.000
3 Hf 0.500 0.000 0.000
4 Zr 0.000 0.000 0.500
5 Ti 0.500 0.500 0.500

***

Entry 9:
First-principles (PBE-GGA) data for an optimized crystal structure of LaHfTl3, as listed in Alexandria via LeMat-Bulk.

Energy of formation in eV per atom: 1.275
M_tot in μB per cell: 0.000
DOS at the Fermi energy in states/eV per atom: 2.79
Offset from the most stable computed form in meV per atom: 1073.3

Unit cell a=5.899 b=5.899 c=5.899 alpha=90.00 beta=90.00 gamma=90.00
Atoms (fractional coordinates):
1 La 0.000 0.000 0.000
2 Hf 0.500 0.500 0.500
3 Tl 0.000 0.000 0.500
4 Tl 0.000 0.500 0.000
5 Tl 0.500 0.000 0.000

***

Entry 10:
First-principles (PBE-GGA) data for an optimized crystal structure of LaHfTl2, as listed in Alexandria via LeMat-Bulk.

Energy of formation in eV per atom: -0.016
M_tot in μB per cell: 0.000
DOS at the Fermi energy in states/eV per atom: 0.99
Offset from the most stable computed form in meV per atom: 78.8

Unit cell a=7.554 b=7.554 c=7.554 alpha=90.00 beta=90.00 gamma=90.00
Atoms (fractional coordinates):
1 La 0.000 0.000 0.000
2 La 0.000 0.500 0.500
3 La 0.500 0.000 0.500
4 La 0.500 0.500 0.000
5 Hf 0.000 0.000 0.500
6 Hf 0.000 0.500 0.000
7 Hf 0.500 0.000 0.000
8 Hf 0.500 0.500 0.500
9 Tl 0.250 0.250 0.250
10 Tl 0.250 0.250 0.750
11 Tl 0.250 0.750 0.250
12 Tl 0.250 0.750 0.750
13 Tl 0.750 0.250 0.250
14 Tl 0.750 0.250 0.750
15 Tl 0.750 0.750 0.250
16 Tl 0.750 0.750 0.750

***

Entry 11:
First-principles (PBE-GGA) data for an optimized crystal structure of La2HfTl2, as listed in Alexandria via LeMat-Bulk.

Energy of formation in eV per atom: -0.103
M_tot in μB per cell: 0.000
DOS at the Fermi energy in states/eV per atom: 0.44

Unit cell a=7.948 b=7.948 c=4.820 alpha=90.00 beta=90.00 gamma=90.00
Atoms (fractional coordinates):
1 La 0.170 0.330 0.000
2 La 0.330 0.830 0.000
3 La 0.670 0.170 0.000
4 La 0.830 0.670 0.000
5 Hf 0.000 0.000 0.500
6 Hf 0.500 0.500 0.500
7 Tl 0.137 0.637 0.500
8 Tl 0.363 0.137 0.500
9 Tl 0.637 0.863 0.500
10 Tl 0.863 0.363 0.500

***

Entry 12:
First-principles (PBE-GGA) data for an optimized crystal structure of LaHf3Tl, as listed in Alexandria via LeMat-Bulk.

Energy of formation in eV per atom: 1.079
M_tot in μB per cell: 3.256
DOS at the Fermi energy in states/eV per atom: 1.48
Offset from the most stable computed form in meV per atom: 0.0

Unit cell a=5.392 b=5.392 c=5.392 alpha=90.00 beta=90.00 gamma=90.00
Atoms (fractional coordinates):
1 La 0.000 0.000 0.000
2 Hf 0.000 0.500 0.500
3 Hf 0.500 0.000 0.500
4 Hf 0.500 0.500 0.000
5 Tl 0.500 0.500 0.500